! PBE-GGA Li2MnN2, optimized geometry; values from VASP
&SYSTEM
  ibrav = 0, nat = 5, ntyp = 3
/
ATOMIC_SPECIES
Li 6.94 Li.upf
Mn 54.94 Mn.upf
N 14.01 N.upf
ATOMIC_POSITIONS angstrom
Li 0.000 1.751 0.761
Li 1.516 0.875 4.593
Mn 0.000 0.000 2.677
N 0.000 1.751 3.757
N 1.516 0.875 1.597
CELL_PARAMETERS angstrom
3.032 0.000 0.000
-1.516 2.626 0.000
0.000 0.000 5.354
! **Total moment**: 3.000 μB/cell
! **Space group**: P-3m1, No. 164
! **Electronic total energy**: -6.35 eV/atom
! **ρ**: 3.771 Mg/m³

! PBE-GGA SrLa2Rh9, optimized geometry; values from VASP
&SYSTEM
  ibrav = 0, nat = 12, ntyp = 3
/
ATOMIC_SPECIES
Sr 87.62 Sr.upf
La 138.91 La.upf
Rh 102.91 Rh.upf
ATOMIC_POSITIONS angstrom
Sr 0.000 0.000 0.000
La 0.000 0.000 3.668
La 0.000 0.000 22.975
Rh -1.337 -0.772 11.046
Rh 0.000 0.000 8.854
Rh 0.000 -1.544 15.598
Rh -1.337 0.772 15.598
Rh 0.000 0.000 13.322
Rh 1.337 -0.772 11.046
Rh 0.000 1.544 11.046
Rh 0.000 0.000 17.790
Rh 1.337 0.772 15.598
CELL_PARAMETERS angstrom
2.689 1.553 8.881
-2.689 1.553 8.881
0.000 -3.105 8.881
! **E_form**: -0.411 eV/atom
! **Total moment**: 0.000 μB/cell
! **Space group**: R-3m, No. 166
! **DOS at the Fermi energy**: 14.60 states/eV/cell
! **ρ**: 9.639 Mg/m³

! PBE-GGA Mg4H5N, optimized geometry; values from VASP
&SYSTEM
  ibrav = 0, nat = 20, ntyp = 3
/
ATOMIC_SPECIES
Mg 24.30 Mg.upf
H 1.01 H.upf
N 14.01 N.upf
ATOMIC_POSITIONS angstrom
Mg 0.020 2.105 0.156
Mg 1.562 0.441 2.754
Mg 1.562 3.769 2.754
Mg 3.105 2.105 0.156
Mg 3.144 6.314 4.735
Mg 4.687 4.650 2.137
Mg 4.687 7.978 2.137
Mg 6.230 6.314 4.735
H 0.028 4.882 3.458
H 0.028 7.746 3.458
H 1.562 6.314 0.760
H 3.097 4.882 3.458
H 3.097 7.746 3.458
H 3.152 0.673 1.433
H 3.152 3.536 1.433
H 4.687 2.105 4.131
H 6.221 0.673 1.433
H 6.221 3.536 1.433
N 1.562 2.105 3.831
N 4.687 6.314 1.060
CELL_PARAMETERS angstrom
6.249 0.000 0.000
0.000 8.419 0.000
0.000 0.000 4.891
! **Total moment**: 0.000 μB/cell
! **Space group**: Pmmn, No. 59
! **Electronic total energy**: -3.39 eV/atom
! **DOS at the Fermi energy**: 0.00 states/eV/cell
! **ρ**: 1.501 Mg/m³

! PBE-GGA NiTe2Cl, optimized geometry; values from VASP
&SYSTEM
  ibrav = 0, nat = 4, ntyp = 3
/
ATOMIC_SPECIES
Ni 58.69 Ni.upf
Te 127.60 Te.upf
Cl 35.45 Cl.upf
ATOMIC_POSITIONS angstrom
Ni 0.000 0.000 0.000
Te 2.503 0.000 1.766
Te 0.000 0.000 3.533
Cl 0.000 2.503 1.766
CELL_PARAMETERS angstrom
-2.503 2.503 3.533
2.503 -2.503 3.533
2.503 2.503 -3.533
! **Total moment**: 0.001 μB/cell
! **Space group**: I-4m2, No. 119
! **Electronic total energy**: -3.01 eV/atom
! **DOS at the Fermi energy**: 3.32 states/eV/cell
! **ρ**: 6.552 Mg/m³

! PBE-GGA Cs2Pu2MnS6, optimized geometry; values from VASP
&SYSTEM
  ibrav = 0, nat = 11, ntyp = 4
/
ATOMIC_SPECIES
Cs 132.91 Cs.upf
Pu 244.00 Pu.upf
Mn 54.94 Mn.upf
S 32.06 S.upf
ATOMIC_POSITIONS angstrom
Cs 3.392 4.004 0.000
Cs 3.392 -4.004 0.000
Pu 2.284 1.977 4.112
Pu 2.284 -1.977 4.112
Mn -1.108 0.000 4.112
S 0.025 1.994 5.541
S 1.062 0.000 2.739
S 0.025 -1.994 5.541
S 4.542 1.994 2.683
S 3.505 0.000 5.484
S 4.542 -1.994 2.683
CELL_PARAMETERS angstrom
3.392 -5.944 0.000
3.392 5.944 0.000
-2.217 0.000 8.223
! **Total moment**: 3.309 μB/cell
! **Space group**: C2/m, No. 12
! **Electronic total energy**: -7.09 eV/atom
! **DOS at the Fermi energy**: 20.30 states/eV/cell
! **ρ**: 5.013 Mg/m³

! PBE-GGA K2LiSb2, optimized geometry; values from VASP
&SYSTEM
  ibrav = 0, nat = 10, ntyp = 3
/
ATOMIC_SPECIES
K 39.10 K.upf
Li 6.94 Li.upf
Sb 121.76 Sb.upf
ATOMIC_POSITIONS angstrom
K 1.300 2.561 0.000
K 2.561 6.421 0.000
K 5.161 1.300 0.000
K 6.421 5.161 0.000
Li 0.000 0.000 2.825
Li 3.861 3.861 2.825
Sb 1.020 4.881 2.825
Sb 2.840 1.020 2.825
Sb 4.881 6.701 2.825
Sb 6.701 2.840 2.825
CELL_PARAMETERS angstrom
7.721 0.000 0.000
0.000 7.721 0.000
0.000 0.000 5.649
! **Total moment**: 0.000 μB/cell
! **Space group**: P4/mbm, No. 127
! **Electronic total energy**: -2.85 eV/atom
! **DOS at the Fermi energy**: 8.01 states/eV/cell
! **ρ**: 3.241 Mg/m³